## MnHI2 (PBE)

Data for MnHI2 after structural relaxation.

```
data_MnHI2
_cell_length_a 7.090
_cell_length_b 4.264
_cell_length_c 7.648
_cell_angle_alpha 90.00
_cell_angle_beta 97.73
_cell_angle_gamma 90.00
_space_group_name_H-M_alt 'C 1 m 1'
_space_group_IT_number 8
loop_
_space_group_symop_operation_xyz
'x,y,z'
'x,-y,z'
'x+1/2,y+1/2,z'
'x+1/2,-y+1/2,z'
loop_
_atom_site_label
_atom_site_type_symbol
_atom_site_fract_x
_atom_site_fract_y
_atom_site_fract_z
Mn1 Mn 0.000 0.000 0.000
H1 H 0.087 0.000 0.471
I1 I 0.305 0.000 0.818
I2 I 0.385 0.500 0.311
```

Results
As for the uncorrected energy: -3.724 eV per atom. The spin magnetization comes out at 4.00 μB per formula unit. The calculation puts the density of states at the Fermi level at 0.20 states/eV per atom. The value obtained for the volume is 229 Å³/cell.